Entry from the Alexandria database: crystalline AcLa15Ho4 at its relaxed geometry (PBE-GGA).

V ... 36.198 Å³/atom
VASP energy ... -96.04 eV per cell
Density of states at the Fermi level ... 32.53 states/eV per cell

Lattice parameters (Å, degrees): 5.247 5.247 26.300 90.00 90.00 90.00
Space group P4/mmm (No. 123)
One atom of each set of equivalent atoms:
Ac 0.000 0.000 0.000 (multiplicity 1)
La 0.000 0.500 0.105 (multiplicity 4)
La 0.000 0.500 0.303 (multiplicity 4)
La 0.000 0.500 0.500 (multiplicity 2)
La 0.500 0.500 0.000 (multiplicity 1)
La 0.500 0.500 0.205 (multiplicity 2)
La 0.500 0.500 0.401 (multiplicity 2)
Ho 0.000 0.000 0.204 (multiplicity 2)
Ho 0.000 0.000 0.401 (multiplicity 2)